(1)
LiHg2Ge2 | GGA-PBEsol | relaxed

Structure (POSCAR):
```
LiHg2Ge2
1.0
-0.626 3.242 -1.660
1.154 -1.421 -3.211
-7.423 -3.111 0.837
Ge Hg Li
2 2 1
direct
0.250 0.750 0.500 Ge
0.750 0.250 0.500 Ge
0.406 0.406 0.812 Hg
0.594 0.594 0.188 Hg
0.000 0.000 0.000 Li
```

Output
* electronic total energy: -2.588 eV per atom

(2)
CrOs2Au | GGA-PBEsol | relaxed

Structure (POSCAR):
```
CrOs2Au
1.0
2.655 0.005 0.000
-1.209 2.363 0.000
0.000 0.000 9.185
Au Cr Os
1 1 2
direct
0.500 0.500 0.500 Au
0.500 0.500 0.000 Cr
0.000 0.000 0.223 Os
0.000 0.000 0.777 Os
```

Output
* energy above the most stable polymorph in this dataset: 16.7 kJ/mol of atoms

What did we get for density of states at the Fermi level? Answer: 1.636 4.175 states/eV/f.u., in the order shown.
What did we get for total magnetization? Answer: 0.0 0.0 μB per formula unit, in the order shown.